Record 1
{
  "formula": "ZnReBrCl2",
  "functional": "PBE",
  "state": "optimized geometry",
  "cell": [[4.526, 0.000, 0.000], [0.000, 4.526, 0.000], [0.000, 0.000, 5.542]],
  "species": ["Zn", "Re", "Br", "Cl", "Cl"],
  "fractional_positions": [[0.000, 0.000, 0.000], [0.000, 0.000, 0.500], [0.500, 0.500, 0.000], [0.000, 0.500, 0.500], [0.500, 0.000, 0.500]],
  "energy_ev_per_cell": -18.28,
  "crystal_system": "tetragonal",
  "sg": "P4/mmm",
  "n_ef_per_ev_cell": 3.201
}

***

Record 2
{
  "formula": "TlInAg2",
  "functional": "PBE",
  "state": "optimized geometry",
  "cell": [[1.676, 0.968, 9.235], [-1.676, 0.968, 9.235], [0.000, -1.935, 9.235]],
  "species": ["Tl", "In", "Ag", "Ag"],
  "fractional_positions": [[0.000, 0.000, 0.000], [0.834, 0.834, 0.834], [0.247, 0.247, 0.247], [0.420, 0.420, 0.420]],
  "energy_ev_per_cell": -10.41,
  "crystal_system": "trigonal",
  "sg": "R3m",
  "n_ef_per_ev_cell": 0.689
}

***

Record 3
{
  "formula": "SiSnS2N",
  "functional": "PBE",
  "state": "optimized geometry",
  "cell": [[3.285, 0.000, 0.000], [0.320, 5.602, 0.000], [0.030, 2.329, 5.283]],
  "species": ["Si", "Sn", "S", "S", "N"],
  "fractional_positions": [[0.000, 0.000, 0.000], [0.615, 0.503, 0.843], [0.037, 0.916, 0.666], [0.696, 0.580, 0.274], [0.509, 0.910, 0.144]],
  "energy_ev_per_cell": -25.98,
  "crystal_system": "triclinic",
  "sg": "P1",
  "polymorph_energy_ev_per_atom": 0.337,
  "n_ef_per_ev_cell": 1.067
}

***

Record 4
{
  "formula": "BPt3Pb",
  "functional": "PBE",
  "state": "optimized geometry",
  "cell": [[5.110, 0.000, 0.000], [0.000, 5.110, 0.000], [0.000, 0.000, 5.110]],
  "species": ["B", "Pt", "Pt", "Pt", "Pb"],
  "fractional_positions": [[0.000, 0.000, 0.000], [0.000, 0.500, 0.500], [0.500, 0.000, 0.500], [0.500, 0.500, 0.000], [0.500, 0.500, 0.500]],
  "energy_ev_per_cell": -18.06,
  "crystal_system": "cubic",
  "sg": "Pm-3m",
  "polymorph_energy_ev_per_atom": 2.256,
  "n_ef_per_ev_cell": 3.975
}

***

Record 5
{
  "formula": "Pa2Co3Ge2",
  "functional": "PBE",
  "state": "optimized geometry",
  "cell": [[-3.931, 3.931, 3.931], [3.931, -3.931, 3.931], [3.931, 3.931, -3.931]],
  "species": ["Pa", "Pa", "Pa", "Pa", "Co", "Co", "Co", "Co", "Co", "Co", "Ge", "Ge", "Ge", "Ge"],
  "fractional_positions": [[0.000, 0.496, 0.500], [0.004, 0.004, 0.004], [0.496, 0.500, 0.000], [0.500, 0.000, 0.496], [0.024, 0.274, 0.750], [0.226, 0.250, 0.476], [0.250, 0.476, 0.226], [0.274, 0.750, 0.024], [0.476, 0.226, 0.250], [0.750, 0.024, 0.274], [0.000, 0.918, 0.500], [0.500, 0.000, 0.918], [0.582, 0.582, 0.582], [0.918, 0.500, 0.000]],
  "energy_ev_per_cell": -105.11,
  "crystal_system": "cubic",
  "sg": "I2_13",
  "polymorph_energy_ev_per_atom": 0.013,
  "n_ef_per_ev_cell": 11.285
}

***

Record 6
{
  "formula": "Tb2Si4Ir3Pd",
  "functional": "PBE",
  "state": "optimized geometry",
  "cell": [[4.134, 0.000, 0.000], [0.000, 4.134, 0.000], [0.000, 0.000, 9.970]],
  "species": ["Tb", "Tb", "Si", "Si", "Si", "Si", "Ir", "Ir", "Ir", "Pd"],
  "fractional_positions": [[0.000, 0.500, 0.241], [0.500, 0.000, 0.759], [0.000, 0.000, 0.000], [0.000, 0.500, 0.636], [0.500, 0.000, 0.364], [0.500, 0.500, 0.000], [0.000, 0.500, 0.873], [0.500, 0.000, 0.127], [0.500, 0.500, 0.500], [0.000, 0.000, 0.500]],
  "energy_ev_per_cell": -72.85,
  "crystal_system": "tetragonal",
  "sg": "P-4m2",
  "n_ef_per_ev_cell": 5.197
}